No. 1
Density functional theory data (PBE) for Pm2Dy4Ho after structural relaxation.

Cell: 6.1021 6.6022 11.6222 Å, 90.00 104.69 90.00°
Space group P2_1/m (No. 11)
One atom of each set of equivalent atoms:
Pm 0.1051 0.2500 0.0023
Pm 0.2050 0.2500 0.5576
Dy 0.1387 0.5010 0.2877
Dy 0.3576 0.7500 0.5681
Dy 0.4962 0.2500 0.8419
Ho 0.3411 0.7500 0.8536

Calculated values
**Polymorph energy (0 for the lowest one)**: 0.085 eV per atom
**Formation enthalpy at 0 K**: 0.135 eV per atom
**Spin magnetization**: 0.00 μB/atom



No. 2
Density functional theory data (PBE) for Pm12DyHo7 after structural relaxation.

Cell: 12.9040 12.9040 14.0851 Å, 90.00 90.00 120.00°
Space group R-3 (No. 148, hexagonal axes)
One atom of each set of equivalent atoms:
Pm 0.9995 0.4326 0.2511
Pm 0.0664 0.8682 0.8433
Dy 0.0000 0.0000 0.5000
Ho 0.0000 0.0000 0.0000
Ho 0.0668 0.1984 0.3521

Calculated values
**Polymorph energy (0 for the lowest one)**: 0.033 eV per atom
**Formation enthalpy at 0 K**: 0.278 eV per atom
**Spin magnetization**: 0.00 μB/atom



Number 1: Fermi-level density of states 23.8 states/eV per cell. Number 2: Fermi-level density of states 69.9 states/eV per cell.